1.
Material: Pr2MgTlN
Method: DFT, PBE
State: relaxed

- Fermi-level density of states (states/eV/cell) = 1.215
- E_form (uncorrected) (meV per atom) = -670

Cell: 4.402 5.155 5.155 Å, 90.00 90.00 90.00°
Element x y z (fractional)
Pr 0.000 0.000 0.500
Pr 0.000 0.500 0.000
Mg 0.500 0.000 0.000
Tl 0.500 0.500 0.500
N 0.000 0.000 0.000



2.
Material: HIrSe2
Method: DFT, PBE
State: relaxed

- excess energy over the best structure of this formula in the dataset (kJ/mol of formula units) = 217
- Fermi-level density of states (states/eV/cell) = 0.000

Cell: 4.316 4.316 4.316 Å, 60.00 60.00 60.00°
Element x y z (fractional)
H 0.000 0.000 0.000
Ir 0.500 0.500 0.500
Se 0.250 0.250 0.250
Se 0.750 0.750 0.750



3.
Material: Cr2ReCl
Method: DFT, PBE
State: relaxed

- excess energy over the best structure of this formula in the dataset (kJ/mol of formula units) = 165
- Fermi-level density of states (states/eV/cell) = 3.615
- E_form (uncorrected) (meV per atom) = 594

Cell: 2.977 3.660 5.940 Å, 90.00 90.00 90.00°
Element x y z (fractional)
Re 0.500 0.500 0.250
Cl 0.500 0.500 0.750
Cr 0.000 0.000 0.078
Cr 0.000 0.000 0.422



Look up the Fermi-level density of states of the first one.
1.215 states/eV/cell



Which of these has the lowest Fermi-level density of states?
HIrSe2



Among the records above, which one has the lowest Fermi-level density of states?
HIrSe2